MgTlAs2: relaxed, PBE.

## Properties
* relative energy among the computed polymorphs: 271 meV per atom
* mass density: 6.94 g/cm3
* D(E_F): 2.47 states/eV per cell
* raw total energy: -3.198 eV/atom
* DFT formation energy: 0.12 eV per atom

a = 6.1660 Å, b = 6.1660 Å, c = 6.1660 Å
α = 141.41°, β = 141.41°, γ = 55.73°
Last column: nearest neighbours and their distance in Å.
Fractional coordinates of all 4 atoms:
As 0.2500 0.7500 0.5000  4 Tl 2.88
As 0.0000 0.0000 0.0000  4 Mg 2.88
Mg 0.5000 0.5000 0.0000  4 As 2.88
Tl 0.7500 0.2500 0.5000  4 As 2.88

---

Mg2Tl2As: relaxed, PBE.

## Properties
* relative energy among the computed polymorphs: 0 meV per atom
* mass density: 6.90 g/cm3
* D(E_F): 4.93 states/eV per cell
* raw total energy: -2.613 eV/atom
* DFT formation energy: -0.10 eV per atom

a = 7.0581 Å, b = 7.0581 Å, c = 5.1435 Å
α = 90.00°, β = 90.00°, γ = 90.00°
Last column: nearest neighbours and their distance in Å.
Fractional coordinates of all 10 atoms:
Tl 0.3357 0.1643 0.5000  6 Mg 3.16-3.41, 1 Tl 3.28
Tl 0.8357 0.3357 0.5000  6 Mg 3.16-3.41, 1 Tl 3.28
Tl 0.1643 0.6643 0.5000  6 Mg 3.16-3.41, 1 Tl 3.28
Tl 0.6643 0.8357 0.5000  6 Mg 3.16-3.41, 1 Tl 3.28
Mg 0.3477 0.8477 0.0000  2 As 2.68
Mg 0.6523 0.1523 0.0000  2 As 2.68
Mg 0.8477 0.6523 0.0000  2 As 2.68
Mg 0.1523 0.3477 0.0000  2 As 2.68
As 0.5000 0.5000 0.0000  4 Mg 2.68
As 0.0000 0.0000 0.0000  4 Mg 2.68

---

Mg2Tl2As: relaxed, PBE.

## Properties
* relative energy among the computed polymorphs: 237 meV per atom
* mass density: 7.00 g/cm3
* D(E_F): 4.68 states/eV per cell
* raw total energy: -2.376 eV/atom
* DFT formation energy: 0.14 eV per atom

a = 7.7169 Å, b = 7.7169 Å, c = 4.2413 Å
α = 90.00°, β = 90.00°, γ = 90.00°
Last column: nearest neighbours and their distance in Å.
Fractional coordinates of all 10 atoms:
Tl 0.8545 0.6455 0.0000  2 As 2.96, 6 Mg 2.99-3.18, 1 Tl 3.18
Tl 0.6455 0.1455 0.0000  2 As 2.96, 6 Mg 2.99-3.18, 1 Tl 3.18
Tl 0.1455 0.3545 0.0000  2 As 2.96, 6 Mg 2.99-3.18, 1 Tl 3.18
Tl 0.3545 0.8545 0.0000  2 As 2.96, 6 Mg 2.99-3.18, 1 Tl 3.18
Mg 0.8391 0.3391 0.5000  6 Tl 2.99-3.18
Mg 0.1609 0.6609 0.5000  6 Tl 2.99-3.18
Mg 0.6609 0.8391 0.5000  6 Tl 2.99-3.18
Mg 0.3391 0.1609 0.5000  6 Tl 2.99-3.18
As 0.5000 0.5000 0.0000  4 Tl 2.96
As 0.0000 0.0000 0.0000  4 Tl 2.96

---

Mg2TlAs: relaxed, PBE.

## Properties
* relative energy among the computed polymorphs: 0 meV per atom
* mass density: 5.58 g/cm3
* D(E_F): 0.98 states/eV per cell
* raw total energy: -2.837 eV/atom
* DFT formation energy: -0.29 eV per atom

a = 4.1964 Å, b = 4.1964 Å, c = 6.8435 Å
α = 72.15°, β = 72.15°, γ = 60.00°
Last column: nearest neighbours and their distance in Å.
Fractional coordinates of all 4 atoms:
Tl 0.5002 0.5002 0.4994  6 Mg 3.10-3.11, 1 As 3.16
As 0.6648 0.6648 0.0056  6 Mg 2.71-2.75
Mg 0.0662 0.0662 0.8013  3 As 2.75
Mg 0.2688 0.2688 0.1937  3 As 2.71

---

Mg2TlAs: relaxed, PBE.

## Properties
* relative energy among the computed polymorphs: 187 meV per atom
* mass density: 6.05 g/cm3
* D(E_F): 2.24 states/eV per cell
* raw total energy: -2.651 eV/atom
* DFT formation energy: -0.10 eV per atom

a = 5.0300 Å, b = 5.0300 Å, c = 5.0300 Å
α = 60.00°, β = 60.00°, γ = 60.00°
Last column: nearest neighbours and their distance in Å.
Fractional coordinates of all 4 atoms:
Mg 0.2500 0.2500 0.2500  4 Tl 3.08, 4 As 3.08
Mg 0.7500 0.7500 0.7500  4 Tl 3.08, 4 As 3.08
As 0.0000 0.0000 0.0000  8 Mg 3.08
Tl 0.5000 0.5000 0.5000  8 Mg 3.08

---

MgTlAs2: relaxed, PBE.

## Properties
* relative energy among the computed polymorphs: 142 meV per atom
* mass density: 6.89 g/cm3
* D(E_F): 0.75 states/eV per cell
* raw total energy: -3.327 eV/atom
* DFT formation energy: -0.01 eV per atom

a = 10.1184 Å, b = 10.1184 Å, c = 10.1184 Å
α = 18.52°, β = 18.52°, γ = 18.52°
Last column: nearest neighbours and their distance in Å.
Fractional coordinates of all 4 atoms:
As 0.5138 0.5138 0.5138  3 Mg 2.80
As 0.9862 0.9862 0.9862  3 Mg 2.80
Mg 0.2500 0.2500 0.2500  6 As 2.80
Tl 0.7500 0.7500 0.7500  6 Tl 3.26, 6 As 3.45

---

Q: The highest DFT formation energy belongs to which entry?
A: number 3